Pr3Mg5Au2 | PBE | relaxed

For the mass density, the calculation gives 5.8 g/cm3. For the energy relative to the elements, the calculation gives -0.286 eV/atom. The calculation puts the spin magnetization at 0.0 Bohr magnetons per cell.

The space group is Ibam (No. 72) and the conventional cell measures 12.6487, 13.0277 and 6.4775 Å, with angles of 90.00, 90.00 and 90.00 degrees. The distinct sites, in fractional coordinates, are Pr at (0.0000, 0.0000, 0.2500), Pr at (0.2481, 0.1442, 0.0000), Mg at (0.0000, 0.2630, 0.2500), Mg at (0.0000, 0.5000, 0.2500), Mg at (0.1623, 0.3986, 0.0000) and Au at (0.1366, 0.1495, 0.5000).